Entry 1:
Material: La3MgN
Method: DFT, GGA-PBE
State: relaxed

Structure (CIF):
```
data_La3MgN
_cell_length_a 5.169
_cell_length_b 5.169
_cell_length_c 5.169
_cell_angle_alpha 90.00
_cell_angle_beta 90.00
_cell_angle_gamma 90.00
_symmetry_space_group_name_H-M 'P 1'
_symmetry_Int_Tables_number 1
_symmetry_space_group_name_Hall 'P 1'
loop_
_atom_site_label
_atom_site_fract_x
_atom_site_fract_y
_atom_site_fract_z
_atom_site_occupancy
La1 0.000 0.000 0.500 1
La2 0.000 0.500 0.000 1
La3 0.500 0.000 0.000 1
Mg1 0.500 0.500 0.500 1
N1 0.000 0.000 0.000 1
```

Excess energy over the best structure of this formula in the dataset (meV/atom): 0
Uncorrected formation energy (kcal/mol of atoms): -14.352
Space group: No. 221

***

Entry 2:
Material: La3MgN
Method: DFT, GGA-PBE
State: relaxed

Structure (CIF):
```
data_La3MgN
_cell_length_a 6.139
_cell_length_b 14.709
_cell_length_c 6.453
_cell_angle_alpha 90.00
_cell_angle_beta 90.00
_cell_angle_gamma 90.00
_symmetry_space_group_name_H-M 'P 1'
_symmetry_Int_Tables_number 1
_symmetry_space_group_name_Hall 'P 1'
loop_
_atom_site_label
_atom_site_fract_x
_atom_site_fract_y
_atom_site_fract_z
_atom_site_occupancy
La1 0.001 0.132 0.073 1
La2 0.001 0.368 0.073 1
La3 0.002 0.250 0.551 1
La4 0.498 0.750 0.051 1
La5 0.499 0.632 0.573 1
La6 0.499 0.868 0.573 1
La7 0.501 0.132 0.427 1
La8 0.501 0.368 0.427 1
La9 0.502 0.250 0.949 1
La10 0.998 0.750 0.449 1
La11 0.999 0.632 0.927 1
La12 0.999 0.868 0.927 1
Mg1 0.000 0.000 0.500 1
Mg2 0.000 0.500 0.500 1
Mg3 0.500 0.000 0.000 1
Mg4 0.500 0.500 0.000 1
N1 0.248 0.750 0.750 1
N2 0.252 0.250 0.250 1
N3 0.748 0.750 0.750 1
N4 0.752 0.250 0.250 1
```

Excess energy over the best structure of this formula in the dataset (meV/atom): 159
Uncorrected formation energy (kcal/mol of atoms): -10.676
Space group: No. 62

***

Entry 3:
Material: La4Mg2N
Method: DFT, GGA-PBE
State: relaxed

Structure (CIF):
```
data_La4Mg2N
_cell_length_a 8.842
_cell_length_b 8.842
_cell_length_c 8.842
_cell_angle_alpha 145.58
_cell_angle_beta 145.58
_cell_angle_gamma 49.48
_symmetry_space_group_name_H-M 'P 1'
_symmetry_Int_Tables_number 1
_symmetry_space_group_name_Hall 'P 1'
loop_
_atom_site_label
_atom_site_fract_x
_atom_site_fract_y
_atom_site_fract_z
_atom_site_occupancy
La1 0.000 0.500 0.500 1
La2 0.152 0.152 0.000 1
La3 0.500 0.000 0.500 1
La4 0.848 0.848 0.000 1
Mg1 0.367 0.367 0.000 1
Mg2 0.633 0.633 0.000 1
N1 0.000 0.000 0.000 1
```

Uncorrected formation energy (kcal/mol of atoms): -7.994
Space group: No. 139

***

Which of these has the highest uncorrected formation energy? La4Mg2N